CaNd2Os: optimized geometry, PBE.

Results
**Distance to the lowest polymorph of the same formula**: 36 meV per atom
**DOS(E_F)**: 3.77 states/eV/f.u.
**Final energy**: -5.683 eV per atom
**DFT formation energy**: 0.01 eV per atom

a b c (Å): 3.516 3.516 10.070
angles (deg): 90.00 90.00 90.00
Fractional coordinates of all 4 atoms:
Ca (0.000, 0.000, 0.000)
Nd (0.500, 0.500, 0.330)
Nd (0.500, 0.500, 0.670)
Os (0.000, 0.000, 0.500)